(1)
Density functional theory data (PBE-GGA) for BaTaAl2 after structural relaxation.

extended XYZ file:
```
4
Lattice="3.1936 0.0000 0.0000 0.0000 5.3483 0.0000 0.0000 0.0000 5.3287" Properties=species:S:1:pos:R:3 pbc="T T T"
Al 1.5968 2.6742 0.0000
Ta 0.0000 2.6742 2.6643
Ba 1.5968 0.0000 2.6643
Al 0.0000 0.0000 0.0000
```



(2)
Density functional theory data (PBE-GGA) for BaTaAl2 after structural relaxation.

extended XYZ file:
```
4
Lattice="3.1398 -0.0015 0.0000 0.0012 3.1398 0.0000 0.0000 0.0000 9.1204" Properties=species:S:1:pos:R:3 pbc="T T T"
Ta 1.5705 1.5691 6.8403
Ba 1.5705 1.5691 2.2801
Al 0.0000 0.0000 8.6707
Al 0.0000 0.0000 5.0098
```



(3)
Density functional theory data (PBE-GGA) for Ba2TaAl after structural relaxation.

extended XYZ file:
```
4
Lattice="-0.7857 4.6326 0.0808 -1.5108 2.0569 3.9461 7.3839 3.5888 3.7766" Properties=species:S:1:pos:R:3 pbc="T T T"
Ba -1.3982 6.8440 4.2984
Ta 1.5220 4.9692 3.5969
Al 2.2949 2.7404 2.2566
Ba 2.9159 7.5534 5.5804
```



| no. | calculated total energy (Ry/atom) | formation energy from the elements (meV/atom) | N(E_F) (states/eV per atom) |
| --- | --- | --- | --- |
| 1 | -0.333 | 788 | 0.760 |
| 2 | -0.381 | 137 | 0.916 |
| 3 | -0.322 | 483 | 1.023 |